# 1
DFT (PBE) results for Pm5Nd6 after structural relaxation.

extended XYZ file:
```
11
Lattice="9.467 0.000 -0.583 4.734 6.716 -0.291 2.467 0.000 5.979" Properties=species:S:1:pos:R:3 pbc="T T T"
Pm 5.967 0.000 2.698
Pm 4.734 1.723 -0.291
Pm 9.467 4.993 -0.583
Pm 5.967 3.487 2.698
Pm 10.701 3.229 2.407
Nd 9.502 0.000 3.566
Nd 2.432 0.000 1.830
Nd 8.485 4.924 4.592
Nd 12.916 4.924 0.222
Nd 8.183 1.792 0.513
Nd 3.751 1.792 4.884
```

Output
* total magnetization: 0.0 μB per formula unit
* symmetry: No. 12
* energy above the lowest structure with this stoichiometry: 25 meV/atom
* formation energy: 130 meV per atom
* uncorrected energy: -4.6302 eV per atom

=====

# 2
DFT (PBE) results for Pm3Nd after structural relaxation.

extended XYZ file:
```
4
Lattice="5.169 0.000 0.000 0.000 5.169 0.000 0.000 0.000 5.169" Properties=species:S:1:pos:R:3 pbc="T T T"
Nd 0.000 0.000 0.000
Pm 0.000 2.584 2.584
Pm 2.584 0.000 2.584
Pm 2.584 2.584 0.000
```

Output
* total magnetization: 0.0 μB per formula unit
* symmetry: No. 221
* energy above the lowest structure with this stoichiometry: 11 meV/atom
* formation energy: 14 meV per atom
* uncorrected energy: -4.7407 eV per atom